(1)
Material: V2PC
Method: DFT, PBE
State: relaxed

Values from the calculation:
* E above lowest polymorph: 460 meV/atom
* SG: R3m (160)
* M_tot: 0.8 Bohr magnetons per cell

Lattice parameters (Å, degrees): 2.9723 2.9723 6.2597 76.27 76.27 60.00
With the nearest neighbours (Å) after each atom.
Atoms (fractional coordinates):
1 V 0.0971 0.0971 0.7086  3 C 2.12
2 V 0.2361 0.2361 0.2918  3 C 2.13
3 P 0.6674 0.6674 0.9977  6 V 2.44-2.47
4 C 0.4994 0.4994 0.5018  6 V 2.12-2.13

(2)
Material: V2PC
Method: DFT, PBE
State: relaxed

Values from the calculation:
* E above lowest polymorph: 897 meV/atom
* SG: Fm-3m (225)
* M_tot: 0.0 Bohr magnetons per cell

Lattice parameters (Å, degrees): 3.9524 3.9524 3.9524 60.00 60.00 60.00
With the nearest neighbours (Å) after each atom.
Atoms (fractional coordinates):
1 P 0.5000 0.5000 0.5000  8 V 2.42
2 C 0.0000 0.0000 0.0000  8 V 2.42
3 V 0.2500 0.2500 0.2500  4 P 2.42, 4 C 2.42
4 V 0.7500 0.7500 0.7500  4 P 2.42, 4 C 2.42

(3)
Material: V6PC
Method: DFT, PBE
State: relaxed

Values from the calculation:
* SG: P-1 (2)
* M_tot: 0.0 Bohr magnetons per cell

Lattice parameters (Å, degrees): 5.0313 5.0335 5.6313 63.30 63.33 59.92
With the nearest neighbours (Å) after each atom.
Atoms (fractional coordinates):
1 V 0.0287 0.4334 0.7714  1 C 2.02
2 V 0.7659 0.0294 0.7723  1 C 2.02
3 V 0.5678 0.2329 0.2298  1 C 2.01
4 V 0.2341 0.9706 0.2277  1 C 2.02
5 V 0.9713 0.5666 0.2286  1 C 2.02
6 V 0.4322 0.7671 0.7702  1 C 2.01
7 P 0.5000 0.5000 0.5000  6 V 2.27
8 C 0.0000 0.0000 0.0000  6 V 2.01-2.02

(4)
Material: V3PC
Method: DFT, PBE
State: relaxed

Values from the calculation:
* SG: Pm-3m (221)
* M_tot: 0.0 Bohr magnetons per cell

Lattice parameters (Å, degrees): 3.9225 3.9225 3.9225 90.00 90.00 90.00
With the nearest neighbours (Å) after each atom.
Atoms (fractional coordinates):
1 P 0.5000 0.5000 0.5000  12 V 2.77
2 C 0.0000 0.0000 0.0000  6 V 1.96
3 V 0.0000 0.5000 0.0000  2 C 1.96
4 V 0.0000 0.0000 0.5000  2 C 1.96
5 V 0.5000 0.0000 0.0000  2 C 1.96

(5)
Material: V18P9C2
Method: DFT, PBE
State: relaxed

Values from the calculation:
* SG: Pmma (51)
* M_tot: 0.0 Bohr magnetons per cell

Lattice parameters (Å, degrees): 3.1905 13.0471 17.0709 90.00 90.00 90.00
With the nearest neighbours (Å) after each atom.
Atoms (fractional coordinates):
1 V 0.5000 0.0000 0.5000  4 P 2.45-2.51, 4 V 2.64
2 V 0.5000 0.0000 0.0000  4 P 2.45-2.51, 4 V 2.64
3 V 0.0000 0.5000 0.5000  4 P 2.37-2.58
4 V 0.0000 0.5000 0.0000  4 P 2.37-2.58
5 V 0.0000 0.5625 0.2500  4 P 2.33-2.49
6 V 0.0000 0.4375 0.7500  4 P 2.33-2.49
7 V 0.5000 0.4001 0.2500  1 C 1.95
8 V 0.5000 0.5999 0.7500  1 C 1.95
9 V 0.5000 0.0977 0.2500  3 C 1.99-2.08
10 V 0.5000 0.9023 0.7500  3 C 1.99-2.08
11 V 0.5000 0.8937 0.2500  2 C 2.08
12 V 0.5000 0.1063 0.7500  2 C 2.08
13 V 0.0000 0.0026 0.3670  1 C 2.00
14 V 0.0000 0.9974 0.6330  1 C 2.00
15 V 0.0000 0.0026 0.1330  1 C 2.00
16 V 0.0000 0.9974 0.8670  1 C 2.00
17 V 0.0000 0.1610 0.4985  5 P 2.34-2.43
18 V 0.0000 0.8390 0.5015  5 P 2.34-2.43
19 V 0.0000 0.1610 0.0015  5 P 2.34-2.43
20 V 0.0000 0.8390 0.9985  5 P 2.34-2.43
21 V 0.0000 0.7596 0.3379  5 P 2.29-2.37
22 V 0.0000 0.2404 0.6621  5 P 2.29-2.37
23 V 0.0000 0.7596 0.1621  5 P 2.29-2.37
24 V 0.0000 0.2404 0.8379  5 P 2.29-2.37
25 V 0.0000 0.2447 0.3303  2 C 2.10
26 V 0.0000 0.7553 0.6697  2 C 2.10
27 V 0.0000 0.2447 0.1697  2 C 2.10
28 V 0.0000 0.7553 0.8303  2 C 2.10
29 V 0.5000 0.3468 0.4422  4 P 2.40-2.43
30 V 0.5000 0.6532 0.5578  4 P 2.40-2.43
31 V 0.5000 0.3468 0.0578  4 P 2.40-2.43
32 V 0.5000 0.6532 0.9422  4 P 2.40-2.43
33 V 0.5000 0.5722 0.3778  5 P 2.43-2.69, 2 V 2.71
34 V 0.5000 0.4278 0.6222  5 P 2.43-2.69, 2 V 2.71
35 V 0.5000 0.5722 0.1222  5 P 2.43-2.69, 2 V 2.71
36 V 0.5000 0.4278 0.8778  5 P 2.43-2.69, 2 V 2.71
37 P 0.0000 0.4337 0.3577  9 V 2.43-2.58
38 P 0.0000 0.5663 0.6423  9 V 2.43-2.58
39 P 0.0000 0.4337 0.1423  9 V 2.43-2.58
40 P 0.0000 0.5663 0.8577  9 V 2.43-2.58
41 P 0.0000 0.6712 0.4539  7 V 2.29-2.43
42 P 0.0000 0.3288 0.5461  7 V 2.29-2.43
43 P 0.0000 0.6712 0.0461  7 V 2.29-2.43
44 P 0.0000 0.3288 0.9539  7 V 2.29-2.43
45 P 0.5000 0.1383 0.3980  8 V 2.36-2.58
46 P 0.5000 0.8617 0.6020  8 V 2.36-2.58
47 P 0.5000 0.1383 0.1020  8 V 2.36-2.58
48 P 0.5000 0.8617 0.8980  8 V 2.36-2.58
49 P 0.5000 0.8699 0.3968  8 V 2.37-2.52
50 P 0.5000 0.1301 0.6032  8 V 2.37-2.52
51 P 0.5000 0.8699 0.1032  8 V 2.37-2.52
52 P 0.5000 0.1301 0.8968  8 V 2.37-2.52
53 P 0.5000 0.6923 0.2500  6 V 2.33-2.36
54 P 0.5000 0.3077 0.7500  6 V 2.33-2.36
55 C 0.0000 0.9959 0.2500  6 V 2.00-2.08
56 C 0.0000 0.0041 0.7500  6 V 2.00-2.08
57 C 0.5000 0.2504 0.2500  6 V 1.95-2.10
58 C 0.5000 0.7496 0.7500  6 V 1.95-2.10

(6)
Material: V3PC
Method: DFT, PBE
State: relaxed

Values from the calculation:
* SG: Pmmn (59)
* M_tot: 0.0 Bohr magnetons per cell

Lattice parameters (Å, degrees): 3.1967 5.1449 7.0351 90.00 90.00 90.00
With the nearest neighbours (Å) after each atom.
Atoms (fractional coordinates):
1 V 0.7500 0.7500 0.0921  1 C 2.22, 2 P 2.37
2 V 0.2500 0.2500 0.9079  1 C 2.22, 2 P 2.37
3 V 0.7500 0.9969 0.6555  3 C 2.11-2.15
4 V 0.7500 0.5031 0.6555  3 C 2.11-2.15
5 V 0.2500 0.0031 0.3445  3 C 2.11-2.15
6 V 0.2500 0.4969 0.3445  3 C 2.11-2.15
7 P 0.7500 0.2500 0.1559  8 V 2.37-2.61
8 P 0.2500 0.7500 0.8441  8 V 2.37-2.61
9 C 0.7500 0.7500 0.4083  7 V 2.11-2.22
10 C 0.2500 0.2500 0.5917  7 V 2.11-2.22

(7)
Material: V2PC
Method: DFT, PBE
State: relaxed

Values from the calculation:
* E above lowest polymorph: 745 meV/atom
* SG: I-42d (122)
* M_tot: 0.8 Bohr magnetons per cell

Lattice parameters (Å, degrees): 4.9385 4.9385 5.9348 65.41 65.41 90.00
With the nearest neighbours (Å) after each atom.
Atoms (fractional coordinates):
1 P 0.0000 0.0000 0.0000  4 V 2.32
2 P 0.7500 0.2500 0.5000  4 V 2.32
3 C 0.5000 0.5000 0.0000  4 V 1.95
4 C 0.2500 0.7500 0.5000  4 V 1.95
5 V 0.5589 0.1250 0.2500  2 C 1.95
6 V 0.1911 0.6250 0.2500  2 C 1.95
7 V 0.3750 0.4411 0.7500  2 C 1.95
8 V 0.8750 0.8089 0.7500  2 C 1.95

(8)
Material: V6P2C
Method: DFT, PBE
State: relaxed

Values from the calculation:
* E above lowest polymorph: 67 meV/atom
* SG: P2_1/c (14)
* M_tot: 0.0 Bohr magnetons per cell

Lattice parameters (Å, degrees): 5.0086 5.9604 7.3985 90.00 90.95 90.00
With the nearest neighbours (Å) after each atom.
Atoms (fractional coordinates):
1 V 0.8818 0.9824 0.2377  1 C 2.02
2 V 0.8480 0.6904 0.5513  1 C 2.03
3 V 0.8416 0.6743 0.9511  1 C 2.04
4 V 0.6584 0.1743 0.5489  1 C 2.04
5 V 0.6520 0.1904 0.9487  1 C 2.03
6 V 0.6182 0.4824 0.2623  1 C 2.02
7 V 0.1182 0.0176 0.7623  1 C 2.02
8 V 0.1520 0.3096 0.4487  1 C 2.03
9 V 0.1584 0.3257 0.0489  1 C 2.04
10 V 0.3416 0.8257 0.4511  1 C 2.04
11 V 0.3480 0.8096 0.0513  1 C 2.03
12 V 0.3818 0.5176 0.7377  1 C 2.02
13 P 0.9375 0.3873 0.7482  8 V 2.33-2.52
14 P 0.5625 0.8873 0.7518  8 V 2.33-2.52
15 P 0.4375 0.1127 0.2482  8 V 2.33-2.52
16 P 0.0625 0.6127 0.2518  8 V 2.33-2.52
17 C 0.5000 0.5000 0.0000  6 V 2.02-2.04
18 C 0.0000 0.0000 0.5000  6 V 2.02-2.04

(9)
Material: V2PC
Method: DFT, PBE
State: relaxed

Values from the calculation:
* E above lowest polymorph: 151 meV/atom
* SG: R-3m (166)
* M_tot: 0.0 Bohr magnetons per cell

Lattice parameters (Å, degrees): 3.0535 3.0520 5.9206 104.92 90.00 120.02
With the nearest neighbours (Å) after each atom.
Atoms (fractional coordinates):
1 V 0.2712 0.0424 0.3137  3 C 2.05
2 V 0.7288 0.9576 0.6863  3 C 2.05
3 P 0.5000 0.5000 0.0000  6 V 2.50
4 C 0.0000 0.5000 0.5000  6 V 2.05

(10)
Material: P3WC
Method: DFT, PBE
State: relaxed

Values from the calculation:
* E above lowest polymorph: 653 meV/atom
* SG: Pm-3m (221)
* M_tot: 1.4 Bohr magnetons per cell

Lattice parameters (Å, degrees): 4.6767 4.6767 4.6767 90.00 90.00 90.00
With the nearest neighbours (Å) after each atom.
Atoms (fractional coordinates):
1 P 0.0000 0.5000 0.0000  2 W 2.34
2 P 0.0000 0.0000 0.5000  2 W 2.34
3 P 0.5000 0.0000 0.0000  2 W 2.34
4 C 0.5000 0.5000 0.5000  12 P 3.31
5 W 0.0000 0.0000 0.0000  6 P 2.34

(11)
Material: PWC3
Method: DFT, PBE
State: relaxed

Values from the calculation:
* E above lowest polymorph: 231 meV/atom
* SG: Pm-3m (221)
* M_tot: 0.0 Bohr magnetons per cell

Lattice parameters (Å, degrees): 4.1155 4.1155 4.1155 90.00 90.00 90.00
With the nearest neighbours (Å) after each atom.
Atoms (fractional coordinates):
1 P 0.5000 0.5000 0.5000  12 C 2.91
2 C 0.0000 0.5000 0.0000  2 W 2.06
3 C 0.0000 0.0000 0.5000  2 W 2.06
4 C 0.5000 0.0000 0.0000  2 W 2.06
5 W 0.0000 0.0000 0.0000  6 C 2.06

(12)
Material: PWC2
Method: DFT, PBE
State: relaxed

Values from the calculation:
* SG: I-42d (122)
* M_tot: 0.0 Bohr magnetons per cell

Lattice parameters (Å, degrees): 4.6782 4.6782 5.2716 63.66 63.66 90.00
With the nearest neighbours (Å) after each atom.
Atoms (fractional coordinates):
1 P 0.5000 0.5000 0.0000  4 C 1.80
2 P 0.2500 0.7500 0.5000  4 C 1.80
3 C 0.5705 0.1250 0.2500  2 P 1.80
4 C 0.1795 0.6250 0.2500  2 P 1.80
5 C 0.3750 0.4295 0.7500  2 P 1.80
6 C 0.8750 0.8205 0.7500  2 P 1.80
7 W 0.0000 0.0000 0.0000  4 C 2.11
8 W 0.7500 0.2500 0.5000  4 C 2.11

(13)
Material: PW2C
Method: DFT, PBE
State: relaxed

Values from the calculation:
* E above lowest polymorph: 22 meV/atom
* SG: Fm-3m (225)
* M_tot: 0.0 Bohr magnetons per cell

Lattice parameters (Å, degrees): 4.1021 4.1021 4.1021 60.00 60.00 60.00
With the nearest neighbours (Å) after each atom.
Atoms (fractional coordinates):
1 P 0.5000 0.5000 0.5000  8 W 2.51
2 C 0.0000 0.0000 0.0000  8 W 2.51
3 W 0.2500 0.2500 0.2500  4 P 2.51, 4 C 2.51
4 W 0.7500 0.7500 0.7500  4 P 2.51, 4 C 2.51

(14)
Material: PWC3
Method: DFT, PBE
State: relaxed

Values from the calculation:
* E above lowest polymorph: 0 meV/atom
* SG: Pm-3m (221)
* M_tot: 0.0 Bohr magnetons per cell

Lattice parameters (Å, degrees): 3.6135 3.6135 3.6135 90.00 90.00 90.00
With the nearest neighbours (Å) after each atom.
Atoms (fractional coordinates):
1 P 0.0000 0.0000 0.0000  6 C 1.81
2 C 0.0000 0.5000 0.0000  2 P 1.81
3 C 0.0000 0.0000 0.5000  2 P 1.81
4 C 0.5000 0.0000 0.0000  2 P 1.81
5 W 0.5000 0.5000 0.5000  12 C 2.56

(15)
Material: PW2C
Method: DFT, PBE
State: relaxed

Values from the calculation:
* E above lowest polymorph: 0 meV/atom
* SG: I-42d (122)
* M_tot: 0.0 Bohr magnetons per cell

Lattice parameters (Å, degrees): 4.9394 4.9394 6.3403 67.08 67.08 90.00
With the nearest neighbours (Å) after each atom.
Atoms (fractional coordinates):
1 P 0.0000 0.0000 0.0000  4 W 2.37
2 P 0.7500 0.2500 0.5000  4 W 2.37
3 C 0.5000 0.5000 0.0000  4 W 2.04
4 C 0.2500 0.7500 0.5000  4 W 2.04
5 W 0.5637 0.1250 0.2500  2 C 2.04
6 W 0.1863 0.6250 0.2500  2 C 2.04
7 W 0.3750 0.4363 0.7500  2 C 2.04
8 W 0.8750 0.8137 0.7500  2 C 2.04

(16)
Material: P2WC
Method: DFT, PBE
State: relaxed

Values from the calculation:
* SG: I-42d (122)
* M_tot: 0.0 Bohr magnetons per cell

Lattice parameters (Å, degrees): 5.2706 5.2706 5.4035 60.81 60.81 90.00
With the nearest neighbours (Å) after each atom.
Atoms (fractional coordinates):
1 P 0.5428 0.1250 0.2500  2 C 1.86
2 P 0.2072 0.6250 0.2500  2 C 1.86
3 P 0.3750 0.4572 0.7500  2 C 1.86
4 P 0.8750 0.7928 0.7500  2 C 1.86
5 C 0.5000 0.5000 0.0000  4 P 1.86
6 C 0.2500 0.7500 0.5000  4 P 1.86
7 W 0.0000 0.0000 0.0000  4 P 2.40
8 W 0.7500 0.2500 0.5000  4 P 2.40

(17)
Material: P3WC
Method: DFT, PBE
State: relaxed

Values from the calculation:
* E above lowest polymorph: 0 meV/atom
* SG: Pm-3m (221)
* M_tot: 0.0 Bohr magnetons per cell

Lattice parameters (Å, degrees): 3.9645 3.9645 3.9645 90.00 90.00 90.00
With the nearest neighbours (Å) after each atom.
Atoms (fractional coordinates):
1 P 0.0000 0.5000 0.0000  2 C 1.98
2 P 0.0000 0.0000 0.5000  2 C 1.98
3 P 0.5000 0.0000 0.0000  2 C 1.98
4 C 0.0000 0.0000 0.0000  6 P 1.98
5 W 0.5000 0.5000 0.5000  12 P 2.80

(18)
Material: Y6P2C
Method: DFT, PBE
State: relaxed

Values from the calculation:
* SG: P2_1/c (14)
* M_tot: 2.8 Bohr magnetons per cell

Lattice parameters (Å, degrees): 6.3125 7.3205 9.3582 90.00 87.20 90.00
With the nearest neighbours (Å) after each atom.
Atoms (fractional coordinates):
1 Y 0.1433 0.0349 0.2538  1 C 2.45
2 Y 0.1463 0.3039 0.5610  1 C 2.49
3 Y 0.1774 0.3278 0.9422  1 C 2.48
4 Y 0.3226 0.8278 0.5578  1 C 2.48
5 Y 0.3537 0.8039 0.9390  1 C 2.49
6 Y 0.3567 0.5349 0.2462  1 C 2.45
7 Y 0.8567 0.9651 0.7462  1 C 2.45
8 Y 0.8537 0.6961 0.4390  1 C 2.49
9 Y 0.8226 0.6722 0.0578  1 C 2.48
10 Y 0.6774 0.1722 0.4422  1 C 2.48
11 Y 0.6463 0.1961 0.0610  1 C 2.49
12 Y 0.6433 0.4651 0.7538  1 C 2.45
13 P 0.0617 0.6208 0.7589  7 Y 2.84-3.14
14 P 0.4383 0.1208 0.7411  7 Y 2.84-3.14
15 P 0.5617 0.8792 0.2589  7 Y 2.84-3.14
16 P 0.9383 0.3792 0.2411  7 Y 2.84-3.14
17 C 0.5000 0.5000 0.0000  6 Y 2.45-2.49
18 C 0.0000 0.0000 0.5000  6 Y 2.45-2.49

(19)
Material: YPC3
Method: DFT, PBE
State: relaxed

Values from the calculation:
* E above lowest polymorph: 2003 meV/atom
* SG: Pm-3m (221)
* M_tot: 0.0 Bohr magnetons per cell

Lattice parameters (Å, degrees): 4.4976 4.4976 4.4976 90.00 90.00 90.00
With the nearest neighbours (Å) after each atom.
Atoms (fractional coordinates):
1 Y 0.0000 0.0000 0.0000  6 C 2.25
2 P 0.5000 0.5000 0.5000  12 C 3.18
3 C 0.0000 0.5000 0.0000  2 Y 2.25
4 C 0.0000 0.0000 0.5000  2 Y 2.25
5 C 0.5000 0.0000 0.0000  2 Y 2.25

(20)
Material: Y4PC
Method: DFT, PBE
State: relaxed

Values from the calculation:
* SG: C2/c (15)
* M_tot: 0.0 Bohr magnetons per cell

Lattice parameters (Å, degrees): 6.4647 6.6406 8.4007 105.84 105.02 108.53
With the nearest neighbours (Å) after each atom.
Atoms (fractional coordinates):
1 Y 0.2957 0.0297 0.6329  1 C 2.45, 1 P 2.71
2 Y 0.0530 0.8295 0.1115  2 C 2.52-2.58, 2 P 2.77-2.81
3 Y 0.1627 0.3967 0.3671  1 C 2.45, 1 P 2.71
4 Y 0.4415 0.7180 0.8885  2 C 2.52-2.58, 2 P 2.77-2.81
5 Y 0.7043 0.9703 0.3671  1 C 2.45, 1 P 2.71
6 Y 0.8373 0.6033 0.6329  1 C 2.45, 1 P 2.71
7 Y 0.9470 0.1705 0.8885  2 C 2.52-2.58, 2 P 2.77-2.81
8 Y 0.5585 0.2820 0.1115  2 C 2.52-2.58, 2 P 2.77-2.81
9 P 0.3222 0.5722 0.1444  6 Y 2.71-2.81
10 P 0.6778 0.4278 0.8556  6 Y 2.71-2.81
11 C 0.8155 0.0655 0.1310  6 Y 2.45-2.58
12 C 0.1845 0.9345 0.8690  6 Y 2.45-2.58

Values for formation energy from the elements, meV per atom, ordered as above
-228.5; 209.1; -155.7; -218.5; -806.7; -533.8; 57.0; -622.5; -537.4; 1779.9; 2278.9; 653.8; 606.2; 2047.8; 583.7; 543.4; 1127.3; -791.0; 3089.5; -633.3
Values for final energy, eV/atom, ordered as above
-8.45; -8.01; -8.82; -8.62; -8.78; -8.93; -8.16; -8.93; -8.76; -5.90; -6.93; -8.55; -9.53; -7.16; -9.55; -7.71; -6.55; -7.33; -4.82; -7.38